Density functional theory data (PBE) for an optimized crystal structure of ZrAl2Si.

Unit cell a=3.8180 b=3.8180 c=6.2155 alpha=90.00 beta=90.00 gamma=120.00
Last column: nearest neighbours and their distance in Å.
Sites, in units of the cell vectors:
Al: 0.3333 0.6667 0.2923  3 Si 2.55, 1 Al 2.58, 3 Zr 2.86
Al: 0.3333 0.6667 0.7077  3 Si 2.55, 1 Al 2.58, 3 Zr 2.86
Si: 0.0000 0.0000 0.5000  6 Al 2.55
Zr: 0.0000 0.0000 0.0000  6 Al 2.86, 2 Si 3.11

Properties
DOS at the Fermi energy = 1.15 states/eV per cell
E_form (uncorrected) = -93 meV per atom
space group = P-6m2